Entry 1:
NaPm4Nd3S8: optimized geometry, PBE.

abc: 8.100 8.101 8.099
angles: 120.00 120.00 90.00
Atoms (fractional coordinates):
Pm 0.500 0.000 0.000
S 0.247 0.249 0.998
Pm 0.500 0.000 0.500
Nd 0.500 0.500 0.500
Pm 0.000 0.000 0.500
Pm 0.000 0.000 0.000
Na 0.000 0.500 0.000
Nd 0.000 0.500 0.500
S 0.249 0.751 0.498
S 0.751 0.753 0.502
S 0.249 0.247 0.498
S 0.751 0.249 0.998
S 0.249 0.751 0.002
S 0.753 0.751 0.002
S 0.751 0.249 0.502
Nd 0.500 0.500 0.000

Computed properties:
- V: 23.5 A^3/atom
- Density of states at the Fermi level: 9.11 states/eV/f.u.
- Crystal system: trigonal
- Symmetry: No. 166


Entry 2:
NaNpO3: optimized geometry, PBE.

abc: 6.154 5.952 5.952
angles: 120.00 90.00 90.00
Site moments in Bohr magnetons follow the coordinates.
Atoms (fractional coordinates):
Na 0.000 0.000 0.000  0.00
O 0.250 0.379 0.125  -0.10
O 0.750 0.746 0.125  -0.10
O 0.250 0.746 0.621  -0.10
O 0.750 0.875 0.621  -0.10
Na 0.500 0.000 0.000  0.00
Np 0.500 0.667 0.333  2.28
O 0.250 0.875 0.254  -0.10
Np 0.000 0.667 0.333  2.28
O 0.750 0.379 0.254  -0.10

Computed properties:
- V: 18.9 A^3/atom
- Density of states at the Fermi level: 4.00 states/eV/f.u.
- Crystal system: hexagonal
- Symmetry: No. 188


Calculated E_tot in order - -6.1982, -8.1977 eV per atom
Calculated energy relative to the elements, uncorrected in order - -1.970, -2.371 eV/atom